Entry 1:
SrTa3 | PBE-GGA | relaxed

The calculation puts the formation energy from the elements at 1.166 eV per atom. The total energy comes out at -0.299 hartree per atom.

a b c (Å): 5.527 5.527 5.527
angles (deg): 90.00 90.00 90.00
Space group Pm-3n (No. 223)
One atom of each set of equivalent atoms:
Sr 0.000 0.000 0.000
Ta 0.000 0.250 0.500

Entry 2:
AlHI3 | PBE-GGA | relaxed

The energy above the most stable polymorph in this dataset comes out at 878 meV/atom. The total energy comes out at -0.065 hartree per atom.

a b c (Å): 5.186 5.186 5.186
angles (deg): 90.00 90.00 90.00
Space group Pm-3m (No. 221)
One atom of each set of equivalent atoms:
Al 0.000 0.000 0.000
H 0.500 0.500 0.500
I 0.000 0.500 0.500

Entry 3:
DyZr2Mo | PBE-GGA | relaxed

The calculation puts the formation energy from the elements at 0.336 eV per atom. The energy above the most stable polymorph in this dataset comes out at 269 meV/atom. The total energy comes out at -0.287 hartree per atom.

a b c (Å): 3.2555 3.2555 31.2805
angles (deg): 90.00 90.00 120.00
Space group R-3m (No. 166, hexagonal axes)
One atom of each set of equivalent atoms:
Dy 0.0000 0.0000 0.0000
Zr 0.0000 0.0000 0.1013
Mo 0.0000 0.0000 0.5000

Entry 4:
Tb4ZnPt | PBE-GGA | relaxed

The calculation puts the formation energy from the elements at -0.573 eV per atom. The energy above the most stable polymorph in this dataset comes out at 0 meV/atom. The total energy comes out at -0.179 hartree per atom.

a b c (Å): 13.560 13.560 13.560
angles (deg): 90.00 90.00 90.00
Space group F-43m (No. 216)
One atom of each set of equivalent atoms:
Tb 0.000 0.000 0.186
Tb 0.058 0.250 0.750
Tb 0.107 0.107 0.393
Zn 0.169 0.169 0.169
Pt 0.105 0.105 0.605

Entry 5:
NaAcPuTe3 | PBE-GGA | relaxed

For the formation energy without anion corrections, the calculation gives -1.1528 eV/atom. The total energy comes out at -0.221 hartree per atom.

a b c (Å): 9.037 4.597 10.193
angles (deg): 90.00 106.34 90.00
Space group P2_1/m (No. 11)
One atom of each set of equivalent atoms:
Na 0.100 0.250 0.087
Ac 0.208 0.250 0.737
Pu 0.323 0.750 0.345
Te 0.087 0.250 0.377
Te 0.264 0.750 0.000
Te 0.444 0.750 0.665

Entry 6:
Cu2AgSb | PBE-GGA | relaxed

For the formation energy without anion corrections, the calculation gives 0.1310 eV/atom. The total energy comes out at -0.135 hartree per atom.

a b c (Å): 3.229 4.177 5.338
angles (deg): 90.00 107.49 90.00
Space group Pm (No. 6)
One atom of each set of equivalent atoms:
Cu 0.000 0.000 0.000
Cu 0.140 0.500 0.281
Ag 0.422 0.500 0.843
Sb 0.732 0.000 0.467

Entry 7:
CrCoGePdS | PBE-GGA | relaxed

The energy above the most stable polymorph in this dataset comes out at 169 meV/atom. For the formation energy without anion corrections, the calculation gives -0.1279 eV/atom. The total energy comes out at -0.230 hartree per atom.

a b c (Å): 12.572 2.813 4.044
angles (deg): 90.00 102.06 90.00
Space group Cm (No. 8)
One atom of each set of equivalent atoms:
Cr 0.000 0.000 0.000
Co 0.097 0.500 0.562
Ge 0.411 0.000 0.434
Pd 0.291 0.000 0.850
S 0.145 0.500 0.095

Entry 8:
Tb3Nd8Er4 | PBE-GGA | relaxed

The calculation puts the formation energy from the elements at 0.163 eV per atom. The energy above the most stable polymorph in this dataset comes out at 0 meV/atom. The total energy comes out at -0.166 hartree per atom.

a b c (Å): 7.0219 7.0219 35.8190
angles (deg): 90.00 90.00 120.00
Space group R-3m (No. 166, hexagonal axes)
One atom of each set of equivalent atoms:
Tb 0.0000 0.5000 0.0000
Nd 0.0000 0.0000 0.2541
Nd 0.0013 0.5006 0.2499
Er 0.0000 0.0000 0.0000
Er 0.0000 0.0000 0.1645
Er 0.0000 0.0000 0.5000

Entry 9:
Dy6P2S3Br | PBE-GGA | relaxed

For the formation energy without anion corrections, the calculation gives -1.7418 eV/atom. The total energy comes out at -0.225 hartree per atom.

a b c (Å): 17.304 3.966 8.000
angles (deg): 90.00 102.69 90.00
Space group C2/m (No. 12)
One atom of each set of equivalent atoms:
Dy 0.004 0.000 0.283
Dy 0.169 0.500 0.579
Dy 0.180 0.500 0.099
P 0.166 0.000 0.331
S 0.000 0.500 0.500
S 0.160 0.000 0.835
Br 0.000 0.500 0.000

Entry 10:
ZrCo2As | PBE-GGA | relaxed

The calculation puts the formation energy from the elements at -0.301 eV per atom. The total energy comes out at -0.263 hartree per atom.

a b c (Å): 3.978 3.978 3.604
angles (deg): 90.00 90.00 90.00
Space group P4/mmm (No. 123)
One atom of each set of equivalent atoms:
Zr 0.000 0.000 0.000
Co 0.000 0.500 0.500
As 0.500 0.500 0.000

Entry 11:
NdMgGa2Ir2 | PBE-GGA | relaxed

The calculation puts the formation energy from the elements at -0.636 eV per atom. The total energy comes out at -0.208 hartree per atom.

a b c (Å): 4.3816 4.3816 6.8048
angles (deg): 90.00 90.00 120.00
Space group P-3m1 (No. 164)
One atom of each set of equivalent atoms:
Nd 0.0000 0.0000 0.0000
Mg 0.0000 0.0000 0.5000
Ga 0.3333 0.6667 0.3032
Ir 0.3333 0.6667 0.7015

Entry 12:
SiH2Se | PBE-GGA | relaxed

The energy above the most stable polymorph in this dataset comes out at 0 meV/atom. The total energy comes out at -0.150 hartree per atom.

a b c (Å): 6.400 4.561 12.427
angles (deg): 90.00 121.00 90.00
Space group P2_1/c (No. 14)
One atom of each set of equivalent atoms:
Si 0.118 0.001 0.367
H 0.074 0.704 0.947
H 0.322 0.206 0.446
Se 0.243 0.749 0.749